Entry 1:
The following is a DFT calculation (SCAN) of a crystal of MnSbRu2 relaxed with PBEsol.

Unit cell a=3.184 b=4.291 c=4.291 alpha=90.00 beta=90.00 gamma=90.00
Atoms (fractional coordinates):
Ru  0.000  0.000  0.500
Ru  0.000  0.500  0.000
Mn  0.500  0.000  0.000
Sb  0.500  0.500  0.500

Values from the calculation:
As for the magnetization: 3.96 μB/f.u. Its raw total energy is -31.505 eV per atom. Its space group is P4/mmm, No. 123.


Entry 2:
The following is a DFT calculation (SCAN) of a crystal of NiIrPt2 relaxed with PBEsol.

Unit cell a=2.718 b=3.729 c=5.414 alpha=90.00 beta=90.00 gamma=90.00
Atoms (fractional coordinates):
Ni  0.500  0.500  0.743
Pt  0.000  0.000  0.989
Pt  0.500  0.500  0.258
Ir  0.000  0.000  0.509

Values from the calculation:
As for the magnetization: 1.01 μB/f.u. The energy above the most stable polymorph in this dataset comes out at 0.117 eV per atom. Its space group is Pmm2, No. 25.


Entry 3:
The following is a DFT calculation (SCAN) of a crystal of Sr3PrMn2O8 relaxed with PBEsol.

Unit cell a=5.408 b=5.407 c=6.695 alpha=90.00 beta=113.82 gamma=90.00
Atoms (fractional coordinates):
O  0.751  0.255  0.994
O  0.243  0.255  0.994
O  0.157  0.000  0.314
O  0.342  0.500  0.684
O  0.667  0.500  0.333
O  0.751  0.745  0.994
O  0.840  0.000  0.681
O  0.243  0.745  0.994
Mn  0.002  0.000  0.003
Mn  0.502  0.500  0.003
Sr  0.144  0.500  0.288
Sr  0.356  0.000  0.713
Sr  0.641  0.000  0.282
Pr  0.862  0.500  0.724

Values from the calculation:
As for the magnetization: 7.00 μB/f.u. Its raw total energy is -16.998 eV per atom. Its space group is Amm2, No. 38.


Entry 4:
The following is a DFT calculation (SCAN) of a crystal of Ta2AgTeOs relaxed with PBEsol.

Unit cell a=4.799 b=4.799 c=4.822 alpha=90.00 beta=90.00 gamma=90.00
Atoms (fractional coordinates):
Ag  0.000  0.000  0.000
Ta  0.500  0.000  0.000
Ta  0.000  0.500  0.000
Os  0.000  0.000  0.500
Te  0.500  0.500  0.500

Values from the calculation:
As for the magnetization: 0.00 μB/f.u. Its raw total energy is -52.517 eV per atom. Its space group is P4/mmm, No. 123.


Entry 5:
The following is a DFT calculation (SCAN) of a crystal of Y2Al2Sn relaxed with PBEsol.

Unit cell a=4.452 b=7.180 c=7.180 alpha=90.00 beta=90.00 gamma=90.00
Atoms (fractional coordinates):
Y  0.500  0.171  0.671
Y  0.500  0.671  0.829
Y  0.500  0.829  0.329
Y  0.500  0.329  0.171
Sn  0.000  0.000  0.000
Sn  0.000  0.500  0.500
Al  0.000  0.374  0.874
Al  0.000  0.874  0.626
Al  0.000  0.626  0.126
Al  0.000  0.126  0.374

Values from the calculation:
As for the magnetization: 0.01 μB/f.u. Its raw total energy is -22.025 eV per atom. Its space group is P4/mbm, No. 127.


Entry 6:
The following is a DFT calculation (SCAN) of a crystal of CoPPb relaxed with PBEsol.

Unit cell a=4.375 b=4.375 c=4.375 alpha=60.00 beta=60.00 gamma=60.00
Atoms (fractional coordinates):
P  0.250  0.250  0.250
Pb  0.000  0.000  0.000
Co  0.500  0.500  0.500

Values from the calculation:
As for the magnetization: 1.98 μB/f.u. Its raw total energy is -33.740 eV per atom. Its space group is F-43m, No. 216.